# 1
Entry from Alexandria: a relaxed structure of RbLaRe2 (PBE-GGA).

For the density of states at the Fermi level, the calculation gives 1.10 states/eV/atom. The formation energy is 1.54 eV/atom. The value obtained for the energy relative to the lowest polymorph listed for this composition is 0.0000 eV per atom.

It has space group I-42d (No. 122), with a = 4.740 Å, b = 4.740 Å, c = 20.968 Å, α = 90.00°, β = 90.00° and γ = 90.00°. Symmetry generates all atoms from Rb at (0.000, 0.000, 0.000), La at (0.000, 0.000, 0.500) and Re at (0.079, 0.250, 0.625).

# 2
Entry from Alexandria: a relaxed structure of LaNbSe2N (PBE-GGA).

For the density of states at the Fermi level, the calculation gives 0.44 states/eV/atom. The value obtained for the formation energy from raw total energies is -1.01 eV/atom. The value obtained for the energy relative to the lowest polymorph listed for this composition is 0.0000 eV per atom.

It has space group P4/mmm (No. 123), with a = 5.189 Å, b = 5.189 Å, c = 3.994 Å, α = 90.00°, β = 90.00° and γ = 90.00°. Symmetry generates all atoms from La at (0.000, 0.000, 0.000), Nb at (0.500, 0.500, 0.500), Se at (0.000, 0.500, 0.500) and N at (0.500, 0.500, 0.000).

# 3
Entry from Alexandria: a relaxed structure of CaPrSiNi (PBE-GGA).

For the density of states at the Fermi level, the calculation gives 1.09 states/eV/atom. The value obtained for the formation energy from raw total energies is -0.47 eV/atom.

It has space group R3m (No. 160, hexagonal axes), with a = 4.0276 Å, b = 4.0276 Å, c = 22.6871 Å, α = 90.00°, β = 90.00° and γ = 120.00°. Symmetry generates all atoms from Ca at (0.0000, 0.0000, 0.0000), Pr at (0.0000, 0.0000, 0.1738), Si at (0.0000, 0.0000, 0.7550) and Ni at (0.0000, 0.0000, 0.4200).

# 4
Entry from Alexandria: a relaxed structure of BaReCl2 (PBE-GGA).

For the density of states at the Fermi level, the calculation gives 0.43 states/eV/atom. The value obtained for the formation energy from raw total energies is -0.02 eV/atom. The value obtained for the energy relative to the lowest polymorph listed for this composition is 0.1207 eV per atom.

It has space group P4mm (No. 99), with a = 3.422 Å, b = 3.422 Å, c = 8.623 Å, α = 90.00°, β = 90.00° and γ = 90.00°. Symmetry generates all atoms from Ba at (0.000, 0.000, 0.000), Re at (0.500, 0.500, 0.695), Cl at (0.000, 0.000, 0.603) and Cl at (0.500, 0.500, 0.219).

# 5
Entry from Alexandria: a relaxed structure of Pm2YTl2 (PBE-GGA).

For the density of states at the Fermi level, the calculation gives 1.32 states/eV/atom. The formation energy is -0.33 eV/atom. The value obtained for the energy relative to the lowest polymorph listed for this composition is 0.0000 eV per atom.

It has space group P4/mbm (No. 127), with a = 8.240 Å, b = 8.240 Å, c = 4.545 Å, α = 90.00°, β = 90.00° and γ = 90.00°. Symmetry generates all atoms from Pm at (0.171, 0.329, 0.000), Y at (0.000, 0.000, 0.500) and Tl at (0.131, 0.631, 0.500).

# 6
Entry from Alexandria: a relaxed structure of Tl2PtRhO4 (PBE-GGA).

For the density of states at the Fermi level, the calculation gives 0.61 states/eV/atom. The value obtained for the formation energy from raw total energies is -0.31 eV/atom.

It has space group I-4 (No. 82), with a = 6.532 Å, b = 6.532 Å, c = 6.384 Å, α = 90.00°, β = 90.00° and γ = 90.00°. Symmetry generates all atoms from Tl at (0.000, 0.000, 0.000), Tl at (0.000, 0.500, 0.250), Pt at (0.000, 0.500, 0.750), Rh at (0.000, 0.000, 0.500) and O at (0.127, 0.768, 0.649).

| no. | energy (Ry per atom) |
| --- | --- |
| 1 | -0.45250 |
| 2 | -0.51936 |
| 3 | -0.36528 |
| 4 | -0.33369 |
| 5 | -0.32838 |
| 6 | -0.37115 |